w | CsTaH2O4: relaxed, GGA-PBE.

Lattice parameters (Å, degrees): 7.8158 7.8158 9.7993 90.00 90.00 90.00
Closest atoms and distances in Å follow each position.
Space group I-42d (No. 122)
Inequivalent atoms, fractional coordinates:
Cs  0.0000  0.0000  0.0000 x4  4 O 2.86, 2 H 3.03
Ta  0.0000  0.0000  0.5000 x4  2 H 1.87, 4 O 1.88
H  0.0000  0.0000  0.3089 x8  2 O 1.32
O  0.0019  0.6586  0.8942 x16  1 H 1.32

Summary:
Magnetic moment in μB/f.u.: 0.0

=====

x | CsTaH2O4: relaxed, GGA-PBE.

Lattice parameters (Å, degrees): 5.0882 6.4130 7.8793 90.00 107.35 90.00
Closest atoms and distances in Å follow each position.
Space group P2_1/m (No. 11)
Inequivalent atoms, fractional coordinates:
Cs  0.0054  0.2500  0.2672 x2  8 O 3.03-3.36, 3 H 3.03-3.08
Ta  0.4789  0.7500  0.2302 x2  4 O 1.81-1.91
H  0.1771  0.2500  0.9304 x2  1 O 1.06
H  0.5000  0.0000  0.5000 x2  2 O 1.21
O  0.1054  0.7500  0.1542 x2  1 H 1.39
O  0.3943  0.2500  0.9744 x2  1 H 1.06
O  0.4022  0.0204  0.6211 x4  1 H 1.21

Summary:
Magnetic moment in μB/f.u.: 0.0

=====

Q: Which of them is the least stable? A: w.

=====

w | CsRbH2Pd: relaxed, GGA-PBE.

Lattice parameters (Å, degrees): 4.3735 4.3735 13.1537 90.00 90.00 90.00
Closest atoms and distances in Å follow each position.
Space group I4mm (No. 107)
Inequivalent atoms, fractional coordinates:
Cs  0.0000  0.0000  0.0000 x2  5 H 3.07-3.09
Rb  0.0000  0.0000  0.7257 x2  5 H 3.07-3.09
H  0.0000  0.0000  0.2330 x2  1 Pd 1.69
H  0.0000  0.0000  0.4920 x2  1 Pd 1.72
Pd  0.0000  0.0000  0.3615 x2  2 H 1.69-1.72

=====

x | CsRbH2Pd: relaxed, GGA-PBE.

Lattice parameters (Å, degrees): 5.3350 5.3350 18.2603 90.00 90.00 120.00
Closest atoms and distances in Å follow each position.
Space group R3m (No. 160, hexagonal axes)
Inequivalent atoms, fractional coordinates:
Cs  0.0000  0.0000  0.0000 x3  4 H 2.96-3.09
Rb  0.0000  0.0000  0.5017 x3  4 H 2.82-3.08
H  0.0000  0.0000  0.1619 x3  1 Pd 1.68
H  0.0000  0.0000  0.3476 x3  1 Pd 1.71
Pd  0.0000  0.0000  0.2539 x3  2 H 1.68-1.71

=====

Q: Which of them is the least stable? A: w.

=====

w | CsHf: relaxed, GGA-PBE.

Lattice parameters (Å, degrees): 5.5479 5.5479 6.7370 90.00 90.00 120.00
Closest atoms and distances in Å follow each position.
Space group P6_3/mmc (No. 194)
Inequivalent atoms, fractional coordinates:
Cs  0.0000  0.0000  0.0000 x2  2 Cs 3.37, 6 Hf 3.62
Hf  0.3333  0.6667  0.2500 x2  6 Cs 3.62

Summary:
Magnetic moment in μB/f.u.: 1.9

=====

x | CsHf: relaxed, GGA-PBE.

Lattice parameters (Å, degrees): 7.5468 7.5468 7.5468 90.00 90.00 90.00
Closest atoms and distances in Å follow each position.
Space group Fm-3m (No. 225)
Inequivalent atoms, fractional coordinates:
Cs  0.0000  0.0000  0.0000 x4  6 Hf 3.77
Hf  0.0000  0.0000  0.5000 x4  6 Cs 3.77

Summary:
Magnetic moment in μB/f.u.: 2.8

=====

Q: Which of them is the least stable? A: x.

=====

w | CsHfHg3S4: relaxed, GGA-PBE.

Lattice parameters (Å, degrees): 6.9148 6.9148 6.9148 90.00 90.00 90.00
Closest atoms and distances in Å follow each position.
Space group P-43m (No. 215)
Inequivalent atoms, fractional coordinates:
Cs  0.0000  0.0000  0.0000 x1  4 S 3.57
Hf  0.5000  0.5000  0.5000 x1  4 S 2.42
Hg  0.0000  0.5000  0.5000 x3  4 S 2.85
S  0.2979  0.2979  0.2979 x4  1 Hf 2.42

Summary:
Magnetic moment in μB/f.u.: 0.0

=====

x | CsHfHg3S4: relaxed, GGA-PBE.

Lattice parameters (Å, degrees): 7.0829 7.7828 10.4423 90.00 104.27 90.00
Closest atoms and distances in Å follow each position.
Space group P2_1/m (No. 11)
Inequivalent atoms, fractional coordinates:
Cs  0.2404  0.2500  0.1216 x2  8 S 3.62-3.95
Hf  0.4508  0.2500  0.7419 x2  4 S 2.39-2.43
Hg  0.0441  0.7500  0.3058 x2  1 S 2.51
Hg  0.2046  0.5459  0.5361 x4  2 S 2.68-2.79, 2 Hg 2.87-2.90
S  0.2194  0.7500  0.1242 x2  1 Hf 2.41, 1 Hg 2.51
S  0.2811  0.0074  0.7977 x4  1 Hf 2.39
S  0.4114  0.2500  0.5037 x2  1 Hf 2.43

Summary:
Magnetic moment in μB/f.u.: 0.0

=====

Q: Which of them is the least stable? A: w.

=====

w | CsHfHg3Te4: relaxed, GGA-PBE.

Lattice parameters (Å, degrees): 7.4723 7.4723 7.4723 90.00 90.00 90.00
Closest atoms and distances in Å follow each position.
Space group P-43m (No. 215)
Inequivalent atoms, fractional coordinates:
Cs  0.0000  0.0000  0.0000 x1  4 Te 3.73
Hf  0.5000  0.5000  0.5000 x1  4 Te 2.74
Hg  0.0000  0.5000  0.5000 x3  4 Te 3.11
Te  0.2884  0.2884  0.2884 x4  1 Hf 2.74

Summary:
Magnetic moment in μB/f.u.: 0.0

=====

x | CsHfHg3Te4: relaxed, GGA-PBE.

Lattice parameters (Å, degrees): 6.6280 8.6717 11.9864 90.00 95.84 90.00
Closest atoms and distances in Å follow each position.
Space group P2_1/m (No. 11)
Inequivalent atoms, fractional coordinates:
Cs  0.2463  0.2500  0.1249 x2  6 Te 3.83-4.28
Hf  0.4780  0.2500  0.7503 x2  4 Te 2.73-2.82
Hg  0.0142  0.7500  0.2356 x2  4 Te 2.84-2.93
Hg  0.2065  0.0862  0.4609 x4  1 Hg 2.84, 1 Te 3.00
Te  0.2484  0.5121  0.7484 x4  1 Hf 2.73, 1 Hg 2.88
Te  0.2649  0.7500  0.0565 x2  1 Hf 2.73, 1 Hg 2.84
Te  0.3014  0.7500  0.4386 x2  1 Hf 2.82, 3 Hg 2.93-3.00

Summary:
Magnetic moment in μB/f.u.: 0.0

=====

Q: Which of them is the least stable? A: w.

=====

w | CsHfIn: relaxed, GGA-PBE.

Lattice parameters (Å, degrees): 7.6127 7.6127 7.6127 90.00 90.00 90.00
Closest atoms and distances in Å follow each position.
Space group F-43m (No. 216)
Inequivalent atoms, fractional coordinates:
Cs  0.0000  0.0000  0.0000 x4  4 Hf 3.30, 4 In 3.30
Hf  0.2500  0.2500  0.7500 x4  4 Cs 3.30
In  0.2500  0.2500  0.2500 x4  4 Cs 3.30

Summary:
Magnetic moment in μB/f.u.: 0.0

=====

x | CsHfIn: relaxed, GGA-PBE.

Lattice parameters (Å, degrees): 7.4384 7.4384 7.4384 90.00 90.00 90.00
Closest atoms and distances in Å follow each position.
Space group F-43m (No. 216)
Inequivalent atoms, fractional coordinates:
Cs  0.0000  0.0000  0.0000 x4  4 Hf 3.22
Hf  0.2500  0.2500  0.2500 x4  4 In 3.22, 4 Cs 3.22
In  0.0000  0.0000  0.5000 x4  4 Hf 3.22

Summary:
Magnetic moment in μB/f.u.: 0.0

=====

Q: Which of them is the least stable? A: w.